(1)
This record from Alexandria describes an optimized crystal structure of AlInRh2. The functional is PBE.

Structure (POSCAR):
```
AlInRh2
1.0
-1.9858 3.6973 -1.2335
-1.4576 1.9360 -3.6418
-5.1288 -1.4764 -0.0452
In Rh Al
1 2 1
Cartesian
-2.1431 1.0392 -1.2301
-5.0256 -1.3782 -0.0944
-4.3893 1.9802 -2.4111
-6.4292 3.1176 -3.6904
```

Output
Its energy of formation is -0.43 eV/atom. Its symmetry is No. 12. The total magnetization is 0.00 μB per cell. For the density of states at the Fermi level, the calculation gives 0.900 states/eV per atom.

---

(2)
This record from Alexandria describes an optimized crystal structure of TmPaCdTc. The functional is PBE.

Structure (POSCAR):
```
TmPaCdTc
1.0
5.0240 0.0000 0.0000
2.5120 4.3509 0.0000
2.5120 1.4503 4.1021
Cd Pa Tc Tm
1 1 1 1
Cartesian
2.5120 1.4503 1.0255
0.0000 0.0000 0.0000
7.5361 4.3509 3.0766
5.0240 2.9006 2.0511
```

Output
Its energy of formation is 0.03 eV/atom. Its symmetry is No. 216. The total magnetization is 0.00 μB per cell. For the density of states at the Fermi level, the calculation gives 0.797 states/eV per atom.

---

(3)
This record from Alexandria describes an optimized crystal structure of Cs2Pb2Se2S. The functional is PBE.

Structure (POSCAR):
```
Cs2Pb2Se2S
1.0
-3.8531 2.8447 -1.4195
-5.5592 -4.9660 -3.6892
-5.4083 -4.9535 4.7252
Pb S Se Cs
2 1 2 2
Cartesian
-5.7108 -3.8885 -1.1130
-9.1098 -3.1862 0.7295
0.0000 0.0000 0.0000
-7.5186 -5.7507 0.0567
-7.3020 -1.3240 -0.4403
-3.4997 -0.3130 0.0883
-11.3209 -6.7617 -0.4718
```

Output
Its symmetry is No. 2. For the formation energy (no corrections), the calculation gives -0.788 eV/atom. The total magnetization is 0.00 μB per cell.

---

(4)
This record from Alexandria describes an optimized crystal structure of Si23Hg3. The functional is PBE.

Structure (POSCAR):
```
Si23Hg3
1.0
-9.5561 0.6469 3.6544
-1.7983 -9.6375 -2.9963
3.2464 -3.4341 9.0973
Si Hg
46 6
Cartesian
0.2745 -8.9452 2.3014
2.0373 -3.5083 5.9485
-6.7378 -7.2337 3.3265
-3.9665 -0.5351 4.1015
-8.6706 -7.9692 2.2093
-7.2034 -7.1436 5.6500
-0.0728 -2.8325 9.1542
-8.0662 -4.3335 1.2426
-1.3702 -5.1910 6.4289
-3.7519 -2.5834 10.5611
-6.2369 0.0453 3.5975
0.6608 -10.8854 3.6549
-2.3432 -2.2521 8.6501
-2.5578 -0.2038 2.1905
-1.4903 -2.2838 1.7931
-5.4805 -4.0463 9.8570
-4.1763 -7.1925 8.1036
-9.6808 -6.1029 1.1509
-4.2263 -9.5786 5.0231
-1.6736 -2.8877 -0.4928
-3.1203 -3.6515 6.8658
-4.9877 -8.7732 2.8895
-6.6176 -10.1409 7.9622
-2.6275 -8.3783 -0.1017
-0.9046 -5.2811 4.1053
-4.8832 -4.9532 7.7723
-3.9316 -5.2322 1.6517
0.5626 -4.4554 7.5461
-2.0313 -8.7339 5.3274
1.1736 -4.1264 3.7996
-3.2882 -4.6570 -0.5846
-8.9885 -2.3925 2.3045
-5.5443 -8.4961 6.6708
-1.3263 -7.5414 3.4026
-6.1729 -5.0805 2.5088
-1.9351 -7.3442 7.2466
-0.5891 -9.5633 0.1525
-3.2247 -7.4715 1.9830
-2.5637 -3.9285 3.0845
0.7874 -2.1862 2.4461
-0.5745 -10.5500 5.6512
-7.5334 -1.8747 4.1041
-2.3659 -6.5981 -1.6464
-6.7816 -4.8832 6.3528
-3.8817 -2.8461 4.7322
-6.0767 -3.6907 4.4280
-5.5439 -1.2319 7.2894
-5.2276 -2.0859 1.0781
-0.0875 -5.6773 0.7762
1.5357 -7.3943 5.3248
-6.1268 -6.9046 -0.4200
-0.7658 -1.5553 5.4622
```

Output
Its symmetry is No. 223. For the formation energy (no corrections), the calculation gives 0.049 eV/atom. The total magnetization is 0.00 μB per cell.